# 1
DFT (PBE-GGA) results for an optimized crystal structure of SmNbPt.

Output
The energy comes out at -7.2967 eV per atom. As for the total moment: 0.00 μB per formula unit. The energy of formation from the pure elements is -1.1 eV/f.u.

Cell: 5.019 5.032 10.363 Å, 90.00 90.00 90.00°
Space group Cmmm (No. 65)
One atom of each set of equivalent atoms:
Sm: 0.000 0.000 0.169
Nb: 0.000 0.500 0.380
Pt: 0.000 0.000 0.500
Pt: 0.000 0.500 0.000

---

# 2
DFT (PBE-GGA) results for an optimized crystal structure of In3SnCl6.

Output
As for the formation energy from raw total energies: -0.860 eV per atom. The value obtained for the excess energy over the best structure of this formula in the dataset is 20 meV/atom. The energy comes out at -3.1899 eV per atom. As for the total moment: 0.00 μB per formula unit.

Cell: 11.905 15.254 7.738 Å, 90.00 90.00 90.00°
Space group Cmc2_1 (No. 36)
One atom of each set of equivalent atoms:
In: 0.000 0.067 0.000
In: 0.185 0.375 0.060
Sn: 0.000 0.349 0.563
Cl: 0.000 0.235 0.917
Cl: 0.000 0.473 0.327
Cl: 0.142 0.003 0.262
Cl: 0.159 0.269 0.403